VASP calculation (PBE) on an optimized crystal structure of Ac2SmGa3Pd4.

Values from the calculation:
The calculation puts the formation enthalpy at 0 K at -0.79 eV/atom. The value obtained for the total magnetization is 0.000 μB per cell.

Lattice parameters (Å, degrees): 4.470 4.470 11.285 90.00 90.00 90.00
Space group P-4m2 (No. 115)
Asymmetric unit:
Ac  0.000  0.500  0.228 x2
Sm  0.000  0.000  0.500 x1
Ga  0.000  0.500  0.887 x2
Ga  0.500  0.500  0.500 x1
Pd  0.000  0.000  0.000 x1
Pd  0.000  0.500  0.659 x2
Pd  0.500  0.500  0.000 x1